This record from Alexandria describes YTlMo2 at its PBEsol-relaxed geometry. The functional is SCAN.

Cell: 6.733 6.733 6.733 Å, 90.00 90.00 90.00°
Space group F-43m (No. 216)
Inequivalent atoms, fractional coordinates:
Y 0.000 0.000 0.000 (multiplicity 4)
Tl 0.250 0.250 0.250 (multiplicity 4)
Mo 0.000 0.000 0.500 (multiplicity 4)
Mo 0.250 0.250 0.750 (multiplicity 4)

Values from the calculation:
calculated formation energy: 0.33 eV/atom
crystal system: cubic
excess energy over the best structure of this formula in the dataset: 0.03 eV per formula unit